Entry 1:
CaPb2Se | PBE | optimized geometry

Cell lengths 6.331, 4.348, 4.348 Å; angles 90.00, 90.00, 90.00 degrees
Positions (direct):
Pb 0.000 0.000 0.000
Pb 0.000 0.500 0.500
Ca 0.500 0.000 0.500
Se 0.500 0.500 0.000

For the total DFT energy (no corrections), the calculation gives -15.05 eV per cell. The calculation puts the raw formation energy at -0.537 eV/atom. The value obtained for the total magnetization is 0.00 μB per cell. The value obtained for the volume is 29.92 Å³ per atom. For the calculated density, the calculation gives 7.40 g cm⁻³. Its space group is P4/mmm, No. 123.

Entry 2:
Sc2AlSi2 | PBE | optimized geometry

Cell lengths 6.591, 6.591, 4.009 Å; angles 90.00, 90.00, 90.00 degrees
Positions (direct):
Sc 0.176 0.676 0.500
Sc 0.676 0.824 0.500
Sc 0.824 0.324 0.500
Sc 0.324 0.176 0.500
Si 0.374 0.874 0.000
Si 0.874 0.626 0.000
Si 0.626 0.126 0.000
Si 0.126 0.374 0.000
Al 0.000 0.000 0.000
Al 0.500 0.500 0.000

For the total DFT energy (no corrections), the calculation gives -61.61 eV per cell. The calculation puts the raw formation energy at -0.711 eV/atom. The value obtained for the total magnetization is 0.00 μB per cell. The value obtained for the volume is 17.42 Å³ per atom. For the calculated density, the calculation gives 3.30 g cm⁻³. Its space group is P4/mbm, No. 127.

Entry 3:
AlRuPb4 | PBE | optimized geometry

Cell lengths 6.259, 6.259, 6.259 Å; angles 60.00, 60.00, 60.00 degrees
Positions (direct):
Al 0.000 0.000 0.000
Ru 0.750 0.750 0.750
Pb 0.874 0.375 0.375
Pb 0.375 0.375 0.874
Pb 0.375 0.874 0.375
Pb 0.375 0.375 0.375

For the total DFT energy (no corrections), the calculation gives -22.37 eV per cell. The energy relative to the elements comes out at 0.91 eV per atom. The value obtained for the total magnetization is 1.73 μB per cell. The value obtained for the volume is 28.89 Å³ per atom. For the calculated density, the calculation gives 9.17 g cm⁻³. Its space group is F-43m, No. 216.